Material: PrCr4Co3O12
Method: DFT, GGA+U
State: optimized geometry

Unit cell a=7.4280 b=7.4280 c=7.4280 alpha=90.00 beta=90.00 gamma=90.00
Last column: nearest neighbours and their distance in Å.
Space group Im-3 (No. 204)
Asymmetric unit:
1 Pr 0.0000 0.0000 0.0000 x2  12 O 2.65
2 Cr 0.2500 0.2500 0.2500 x8  6 O 2.00
3 Co 0.0000 0.0000 0.5000 x6  4 O 1.88
4 O 0.0000 0.1709 0.3125 x24  1 Co 1.88, 2 Cr 2.00

N(E_F)	1.03	states/eV per cell
total moment	0.600	μB/atom
uncorrected energy	-7.139	eV per atom